Entry 1:
VASP calculation (GGA-PBE) on a geometry-optimized Ac3Sm2ThTe6 structure.

The structure in extended XYZ format:
```
12
Lattice="10.018 -2.287 0.000 10.018 2.287 0.000 -2.182 0.000 8.956" Properties=species:S:1:pos:R:3 pbc="T T T"
Ac 0.000 0.000 0.000
Ac 5.259 0.000 5.978
Ac 12.596 0.000 2.978
Sm 6.338 0.000 1.518
Sm 11.516 0.000 7.438
Th -1.091 0.000 4.478
Te 1.999 0.000 5.325
Te 3.285 0.000 0.648
Te 9.364 0.000 2.301
Te 8.491 0.000 6.655
Te 14.569 0.000 8.308
Te 15.856 0.000 3.632
```

- final energy (eV per cell) = -64.378
- raw formation energy (eV/atom) = -1.3620
- space group = C2/m (12)
- D(E_F) (states/eV/f.u.) = 8.1

=====

Entry 2:
VASP calculation (GGA-PBE) on a geometry-optimized YMg2Ru2 structure.

The structure in extended XYZ format:
```
10
Lattice="7.377 0.000 0.000 0.000 7.377 0.000 0.000 0.000 3.397" Properties=species:S:1:pos:R:3 pbc="T T T"
Y 0.000 0.000 0.000
Y 3.689 3.689 0.000
Mg 1.071 2.618 1.699
Mg 2.618 6.306 1.699
Mg 4.760 1.071 1.699
Mg 6.306 4.760 1.699
Ru 1.083 4.772 0.000
Ru 2.605 1.083 0.000
Ru 4.772 6.294 0.000
Ru 6.294 2.605 0.000
```

- final energy (eV per cell) = -56.009
- DFT formation energy (eV/f.u.) = 0.2
- space group = P4/mbm (127)
- D(E_F) (states/eV/f.u.) = 5.2
- offset from the most stable computed form (eV per atom) = 0.0000